A plane-wave DFT calculation with PBE-GGA was carried out for an optimized crystal structure of Hg2RuSe.

Summary:
**ΔE_f (raw)**: 0.5830 eV per atom
**Crystal system**: tetragonal

Unit cell a=4.2327 b=4.2327 c=8.8161 alpha=90.00 beta=90.00 gamma=90.00
Space group I-4m2 (No. 119)
Inequivalent atoms, fractional coordinates:
Hg1 0.0000 0.0000 0.0000 (multiplicity 2)
Hg2 0.0000 0.5000 0.2500 (multiplicity 2)
Ru1 0.0000 0.5000 0.7500 (multiplicity 2)
Se1 0.0000 0.0000 0.5000 (multiplicity 2)